1 | A plane-wave DFT calculation with PBE was carried out for ReHI2N after structural relaxation.

Properties
SG: No. 123
Calculated volume, Å³/cell: 118

```
ReHI2N
1.0
-1.609 -5.175 1.416
4.110 -2.139 -3.147
2.320 0.091 2.968
I Re H N
2 1 1 1
Direct
0.000 0.500 0.000
0.500 0.000 0.000
0.000 0.000 0.000
0.500 0.500 0.500
0.000 0.000 0.500
```

2 | A plane-wave DFT calculation with PBE was carried out for ReHI2N after structural relaxation.

Properties
SG: No. 123
Calculated volume, Å³/cell: 80

```
ReHI2N
1.0
-4.398 -0.638 -2.569
2.303 -3.378 -3.104
-0.767 -2.242 1.870
I Re H N
2 1 1 1
Direct
0.000 0.500 0.000
0.500 0.000 0.000
0.500 0.500 0.500
0.000 0.000 0.000
0.000 0.000 0.500
```

Name the least stable of them. 2.

1 | A plane-wave DFT calculation with PBE was carried out for HRuIN2 after structural relaxation.

Properties
SG: No. 123
Calculated volume, Å³/cell: 55

```
HRuIN2
1.0
3.999 0.000 0.000
0.000 3.999 0.000
0.000 0.000 3.463
I Ru H N
1 1 1 2
Direct
0.000 0.000 0.500
0.500 0.500 0.500
0.000 0.000 0.000
0.000 0.500 0.000
0.500 0.000 0.000
```

2 | A plane-wave DFT calculation with PBE was carried out for HRuIN2 after structural relaxation.

Properties
SG: No. 123
Calculated volume, Å³/cell: 82

```
HRuIN2
1.0
-0.643 1.992 3.110
-2.194 -2.745 1.304
4.600 -2.473 2.535
I Ru H N
1 1 1 2
Direct
0.000 0.000 0.500
0.000 0.000 0.000
0.500 0.500 0.500
0.000 0.500 0.000
0.500 0.000 0.000
```

Name the least stable of them. 1.

1 | A plane-wave DFT calculation with PBE was carried out for SiHI2N after structural relaxation.

Properties
SG: No. 123
Calculated volume, Å³/cell: 116

```
SiHI2N
1.0
6.352 0.000 0.000
0.000 6.352 0.000
0.000 0.000 2.876
I H Si N
2 1 1 1
Direct
0.000 0.500 0.000
0.500 0.000 0.000
0.000 0.000 0.000
0.500 0.500 0.500
0.000 0.000 0.500
```

2 | A plane-wave DFT calculation with PBE was carried out for SiHI2N after structural relaxation.

Properties
SG: No. 123
Calculated volume, Å³/cell: 120

```
SiHI2N
1.0
-5.450 -2.173 -1.692
2.530 -2.469 -4.978
0.574 -2.716 1.639
I H Si N
2 1 1 1
Direct
0.000 0.500 0.000
0.500 0.000 0.000
0.500 0.500 0.500
0.000 0.000 0.000
0.000 0.000 0.500
```

Name the least stable of them. 1.

1 | A plane-wave DFT calculation with PBE was carried out for SnHI2N after structural relaxation.

Properties
SG: No. 123
Calculated volume, Å³/cell: 149

```
SnHI2N
1.0
-5.114 -2.943 1.002
-0.141 -1.707 -5.734
2.165 -3.432 0.969
I H Sn N
2 1 1 1
Direct
0.000 0.500 0.000
0.500 0.000 0.000
0.500 0.500 0.500
0.000 0.000 0.000
0.000 0.000 0.500
```

2 | A plane-wave DFT calculation with PBE was carried out for SnHI2N after structural relaxation.

Properties
SG: No. 123
Calculated volume, Å³/cell: 131

```
SnHI2N
1.0
6.665 0.000 0.000
0.000 6.665 0.000
0.000 0.000 2.954
I H Sn N
2 1 1 1
Direct
0.000 0.500 0.000
0.500 0.000 0.000
0.000 0.000 0.000
0.500 0.500 0.500
0.000 0.000 0.500
```

Name the least stable of them. 1.

1 | A plane-wave DFT calculation with PBE was carried out for SrHIN2 after structural relaxation.

Properties
SG: No. 123
Calculated volume, Å³/cell: 178

```
SrHIN2
1.0
5.252 0.000 0.000
0.000 5.252 0.000
0.000 0.000 6.457
I Sr H N
1 1 1 2
Direct
0.000 0.000 0.500
0.000 0.000 0.000
0.500 0.500 0.500
0.000 0.500 0.000
0.500 0.000 0.000
```

2 | A plane-wave DFT calculation with PBE was carried out for SrHIN2 after structural relaxation.

Properties
SG: No. 123
Calculated volume, Å³/cell: 90

```
SrHIN2
1.0
4.860 0.000 0.000
0.000 4.860 0.000
0.000 0.000 3.794
I Sr H N
1 1 1 2
Direct
0.000 0.000 0.500
0.500 0.500 0.500
0.000 0.000 0.000
0.000 0.500 0.000
0.500 0.000 0.000
```

Name the least stable of them. 1.

1 | A plane-wave DFT calculation with PBE was carried out for TaHI2N after structural relaxation.

Properties
SG: No. 123
Calculated volume, Å³/cell: 127

```
TaHI2N
1.0
-4.541 -0.504 3.399
2.862 -3.672 3.280
1.308 2.974 2.188
I H N Ta
2 1 1 1
Direct
0.000 0.500 0.000
0.500 0.000 0.000
0.500 0.500 0.500
0.000 0.000 0.500
0.000 0.000 0.000
```

2 | A plane-wave DFT calculation with PBE was carried out for TaHI2N after structural relaxation.

Properties
SG: No. 123
Calculated volume, Å³/cell: 83

```
TaHI2N
1.0
-4.784 -0.465 -1.844
-1.733 -0.985 4.746
-0.477 3.073 0.464
I H N Ta
2 1 1 1
Direct
0.000 0.500 0.000
0.500 0.000 0.000
0.000 0.000 0.000
0.000 0.000 0.500
0.500 0.500 0.500
```

Name the least stable of them. 2.

1 | A plane-wave DFT calculation with PBE was carried out for TiHIN2 after structural relaxation.

Properties
SG: No. 123
Calculated volume, Å³/cell: 57

```
TiHIN2
1.0
4.158 0.000 0.000
0.000 4.158 0.000
0.000 0.000 3.319
I H N Ti
1 1 2 1
Direct
0.000 0.000 0.500
0.000 0.000 0.000
0.000 0.500 0.000
0.500 0.000 0.000
0.500 0.500 0.500
```

2 | A plane-wave DFT calculation with PBE was carried out for TiHIN2 after structural relaxation.

Properties
SG: No. 123
Calculated volume, Å³/cell: 88

```
TiHIN2
1.0
-0.413 3.587 -1.200
-2.038 -1.228 -2.970
-5.069 0.510 3.267
I H N Ti
1 1 2 1
Direct
0.000 0.000 0.500
0.500 0.500 0.500
0.000 0.500 0.000
0.500 0.000 0.000
0.000 0.000 0.000
```

Name the least stable of them. 1.

1 | A plane-wave DFT calculation with PBE was carried out for VHIN2 after structural relaxation.

Properties
SG: No. 123
Calculated volume, Å³/cell: 55

```
VHIN2
1.0
-3.733 1.080 1.227
-1.626 -2.139 -3.064
-0.138 -2.700 1.958
I H N V
1 1 2 1
Direct
0.000 0.000 0.500
0.000 0.000 0.000
0.000 0.500 0.000
0.500 0.000 0.000
0.500 0.500 0.500
```

2 | A plane-wave DFT calculation with PBE was carried out for VHIN2 after structural relaxation.

Properties
SG: No. 123
Calculated volume, Å³/cell: 79

```
VHIN2
1.0
3.688 0.000 0.000
0.000 3.688 0.000
0.000 0.000 5.779
I H N V
1 1 2 1
Direct
0.000 0.000 0.500
0.500 0.500 0.500
0.000 0.500 0.000
0.500 0.000 0.000
0.000 0.000 0.000
```

Name the least stable of them. 1.

1 | A plane-wave DFT calculation with PBE was carried out for YHI2N after structural relaxation.

Properties
SG: No. 123
Calculated volume, Å³/cell: 106

```
YHI2N
1.0
-4.072 3.240 1.821
-2.736 -4.441 1.786
1.593 0.263 3.093
I Y H N
2 1 1 1
Direct
0.000 0.500 0.000
0.500 0.000 0.000
0.500 0.500 0.500
0.000 0.000 0.000
0.000 0.000 0.500
```

2 | A plane-wave DFT calculation with PBE was carried out for YHI2N after structural relaxation.

Properties
SG: No. 123
Calculated volume, Å³/cell: 173

```
YHI2N
1.0
-4.443 -4.145 -0.030
2.636 -2.860 4.668
-2.463 2.619 2.995
I Y H N
2 1 1 1
Direct
0.000 0.500 0.000
0.500 0.000 0.000
0.000 0.000 0.000
0.500 0.500 0.500
0.000 0.000 0.500
```

Name the least stable of them. 1.

1 | A plane-wave DFT calculation with PBE was carried out for ZnHI2N after structural relaxation.

Properties
SG: No. 123
Calculated volume, Å³/cell: 125

```
ZnHI2N
1.0
-2.526 -6.038 0.717
4.677 -1.433 4.408
-1.707 0.967 2.126
I H Zn N
2 1 1 1
Direct
0.000 0.500 0.000
0.500 0.000 0.000
0.000 0.000 0.000
0.500 0.500 0.500
0.000 0.000 0.500
```

2 | A plane-wave DFT calculation with PBE was carried out for ZnHI2N after structural relaxation.

Properties
SG: No. 123
Calculated volume, Å³/cell: 144

```
ZnHI2N
1.0
6.345 0.000 0.000
0.000 6.345 0.000
0.000 0.000 3.586
I H Zn N
2 1 1 1
Direct
0.000 0.500 0.000
0.500 0.000 0.000
0.500 0.500 0.500
0.000 0.000 0.000
0.000 0.000 0.500
```

Name the least stable of them. 2.

1 | A plane-wave DFT calculation with PBE was carried out for ZrHIN2 after structural relaxation.

Properties
SG: No. 123
Calculated volume, Å³/cell: 106

```
ZrHIN2
1.0
-0.434 3.994 -0.846
-3.958 -0.621 -0.900
-1.539 1.105 6.007
I H Zr N
1 1 1 2
Direct
0.000 0.000 0.500
0.500 0.500 0.500
0.000 0.000 0.000
0.000 0.500 0.000
0.500 0.000 0.000
```

2 | A plane-wave DFT calculation with PBE was carried out for ZrHIN2 after structural relaxation.

Properties
SG: No. 123
Calculated volume, Å³/cell: 60

```
ZrHIN2
1.0
-0.423 -3.385 -2.530
4.209 -0.109 -0.558
0.296 -2.000 2.626
I H Zr N
1 1 1 2
Direct
0.000 0.000 0.500
0.000 0.000 0.000
0.500 0.500 0.500
0.000 0.500 0.000
0.500 0.000 0.000
```

Name the least stable of them. 2.

1 | A plane-wave DFT calculation with PBE was carried out for NaHI3 after structural relaxation.

Properties
SG: No. 14
Calculated volume, Å³/cell: 862

```
NaHI3
1.0
-4.080 -4.069 7.408
7.178 -4.062 1.723
4.195 9.312 4.473
Na H I
4 4 12
Direct
0.897 0.552 0.142
0.603 0.052 0.358
0.103 0.448 0.858
0.397 0.948 0.642
0.540 0.781 0.191
0.960 0.281 0.309
0.460 0.219 0.809
0.040 0.719 0.691
0.187 0.647 0.627
0.313 0.147 0.873
0.813 0.353 0.373
0.687 0.853 0.127
0.869 0.768 0.784
0.631 0.268 0.716
0.131 0.232 0.216
0.369 0.732 0.284
0.624 0.756 0.532
0.876 0.256 0.968
0.376 0.244 0.468
0.124 0.744 0.032
```

2 | A plane-wave DFT calculation with PBE was carried out for NaHI3 after structural relaxation.

Properties
SG: No. 221
Calculated volume, Å³/cell: 228

```
NaHI3
1.0
-6.037 -0.575 0.755
0.929 -2.593 5.455
-0.193 5.503 2.649
I Na H
3 1 1
Direct
0.000 0.500 0.000
0.000 0.000 0.500
0.500 0.000 0.000
0.000 0.000 0.000
0.500 0.500 0.500
```

3 | A plane-wave DFT calculation with PBE was carried out for NaHI3 after structural relaxation.

Properties
SG: No. 221
Calculated volume, Å³/cell: 152

```
NaHI3
1.0
-1.682 3.967 -3.159
0.679 -3.122 -4.282
-5.025 -1.749 0.479
I Na H
3 1 1
Direct
0.000 0.500 0.000
0.000 0.000 0.500
0.500 0.000 0.000
0.500 0.500 0.500
0.000 0.000 0.000
```

Name the least stable of them. 2.